# DyFe5B2

A relaxed DyFe5B2 crystal (PBE, Alexandria).

abc: 3.2549 5.6841 5.6841
angles: 70.66 73.36 73.36
Last column: nearest neighbours and their distance in Å.
Positions (direct):
Dy1 0.0000 0.0000 0.0000  4 B 2.74, 8 Fe 2.98
Fe1 0.0000 0.5000 0.5000  2 B 2.14
Fe2 0.6607 0.5252 0.1534  3 B 2.17-2.22, 2 Fe 2.40
Fe3 0.3393 0.4748 0.8466  3 B 2.17-2.22, 2 Fe 2.40
Fe4 0.3393 0.8466 0.4748  3 B 2.17-2.22, 2 Fe 2.40
Fe5 0.6607 0.1534 0.5252  3 B 2.17-2.22, 2 Fe 2.40
B1 0.7536 0.7464 0.7464  7 Fe 2.14-2.22
B2 0.2464 0.2536 0.2536  7 Fe 2.14-2.22

ΔE_f, eV/atom: -0.2776
Mass density, g cm⁻³: 8.28
Total energy, Ha/atom: -0.287


# LiPb3O4

A relaxed LiPb3O4 crystal (PBE, Alexandria).

abc: 5.4626 5.7725 8.9432
angles: 90.00 90.00 90.00
Last column: nearest neighbours and their distance in Å.
Positions (direct):
Li1 0.0061 0.1958 0.0000  4 O 2.05-2.20
Li2 0.5061 0.8042 0.5000  4 O 2.05-2.20
Pb1 0.5240 0.7879 0.0000  2 O 2.33
Pb2 0.0207 0.7209 0.2513  4 O 2.26-2.41
Pb3 0.5207 0.2791 0.2487  4 O 2.26-2.41
Pb4 0.0240 0.2121 0.5000  2 O 2.33
Pb5 0.5207 0.2791 0.7513  4 O 2.26-2.41
Pb6 0.0207 0.7209 0.7487  4 O 2.26-2.41
O1 0.1024 0.8518 0.0000  1 Li 2.05
O2 0.6225 0.1806 0.0000  1 Li 2.10, 1 Pb 2.33
O3 0.1094 0.3422 0.2185  1 Li 2.20, 2 Pb 2.26-2.29
O4 0.6094 0.6578 0.2815  1 Li 2.20, 2 Pb 2.26-2.29
O5 0.1225 0.8194 0.5000  1 Li 2.10, 1 Pb 2.33
O6 0.6024 0.1482 0.5000  1 Li 2.05
O7 0.6094 0.6578 0.7185  1 Li 2.20, 2 Pb 2.26-2.29
O8 0.1094 0.3422 0.7815  1 Li 2.20, 2 Pb 2.26-2.29

Mass density, g cm⁻³: 8.16
Raw formation energy, eV per atom: -1.089
Total energy, Ha/atom: -0.191


# LaZr2Cl

A relaxed LaZr2Cl crystal (PBE, Alexandria).

abc: 6.3472 6.3472 6.3472
angles: 150.45 122.64 65.84
Last column: nearest neighbours and their distance in Å.
Positions (direct):
Cl1 0.5255 0.5255 0.0000  2 Zr 2.68
La1 0.2833 0.7833 0.5000  2 Cl 3.05, 2 La 3.24
Zr1 0.9653 0.9653 0.0000  4 Zr 3.02-3.24
Zr2 0.7259 0.2259 0.5000  2 Cl 2.68

Mass density, g cm⁻³: 5.64
Energy relative to the lowest polymorph listed for this composition, eV/f.u.: 1.15
Raw formation energy, eV per atom: -0.099
Total energy, Ha/atom: -0.223


# TcW4Cl

A relaxed TcW4Cl crystal (PBE, Alexandria).

abc: 5.2899 5.2899 5.2899
angles: 60.00 60.00 60.00
Last column: nearest neighbours and their distance in Å.
Positions (direct):
Tc1 0.0000 0.0000 0.0000  12 W 3.10, 4 Cl 3.24
W1 0.8731 0.3756 0.3756  6 W 2.63-2.66
W2 0.3756 0.3756 0.8731  6 W 2.63-2.66
W3 0.3756 0.8731 0.3756  6 W 2.63-2.66
W4 0.3756 0.3756 0.3756  6 W 2.63-2.66
Cl1 0.7500 0.7500 0.7500  12 W 3.10, 4 Tc 3.24

Mass density, g cm⁻³: 13.78
Raw formation energy, eV per atom: 1.135
Total energy, Ha/atom: -0.350


# CsAs2Br2

A relaxed CsAs2Br2 crystal (PBE, Alexandria).

abc: 3.9215 3.9215 10.3950
angles: 79.13 79.13 90.00
Last column: nearest neighbours and their distance in Å.
Positions (direct):
Cs1 0.0000 0.0000 0.0000  8 Br 3.60, 4 Cs 3.92
As1 0.7500 0.2500 0.5000  4 As 2.77
As2 0.2500 0.7500 0.5000  4 As 2.77
Br1 0.3853 0.3853 0.2295  4 As 3.35, 4 Cs 3.60
Br2 0.6147 0.6147 0.7705  4 As 3.35, 4 Cs 3.60

Mass density, g cm⁻³: 4.77
Energy relative to the lowest polymorph listed for this composition, eV/f.u.: 0.00
Raw formation energy, eV per atom: -0.364
Total energy, Ha/atom: -0.113


# Pm2Dy3Ag2

A relaxed Pm2Dy3Ag2 crystal (PBE, Alexandria).

abc: 3.5888 3.5907 15.6858
angles: 90.00 83.43 90.00
Last column: nearest neighbours and their distance in Å.
Positions (direct):
Pm1 0.7005 0.5000 0.5990  6 Pm 3.57-3.59, 4 Dy 3.60
Pm2 0.2995 0.5000 0.4010  6 Pm 3.57-3.59, 4 Dy 3.60
Dy1 0.8814 0.0000 0.2372  4 Ag 3.15
Dy2 0.0000 0.0000 0.0000  8 Ag 3.13
Dy3 0.1186 0.0000 0.7628  4 Ag 3.15
Ag1 0.5587 0.5000 0.8827  8 Dy 3.13-3.15
Ag2 0.4413 0.5000 0.1173  8 Dy 3.13-3.15

ΔE_f, eV/atom: -0.1103
Mass density, g cm⁻³: 8.21
Energy relative to the lowest polymorph listed for this composition, eV/f.u.: 0.00
Total energy, Ha/atom: -0.156


# BaCa2Ge

A relaxed BaCa2Ge crystal (PBE, Alexandria).

abc: 5.0528 5.0528 7.5130
angles: 70.35 70.35 60.00
Last column: nearest neighbours and their distance in Å.
Positions (direct):
Ba1 0.4988 0.4988 0.5037  1 Ge 3.57, 6 Ca 3.83-3.84
Ca1 0.0453 0.0453 0.8641  3 Ge 3.04
Ca2 0.2851 0.2851 0.1447  3 Ge 3.11
Ge1 0.6708 0.6708 0.9875  6 Ca 3.04-3.11

ΔE_f, eV/atom: -0.3047
Mass density, g cm⁻³: 3.15
Total energy, Ha/atom: -0.108


# YBiAu2C

A relaxed YBiAu2C crystal (PBE, Alexandria).

abc: 4.4634 4.9562 4.4634
angles: 90.00 90.00 90.00
Last column: nearest neighbours and their distance in Å.
Positions (direct):
Y1 0.0000 0.5000 0.0000  2 C 2.48
C1 0.0000 0.0000 0.0000  4 Au 2.23, 2 Y 2.48
Au1 0.0000 0.0000 0.5000  2 C 2.23
Au2 0.5000 0.0000 0.0000  2 C 2.23
Bi1 0.5000 0.5000 0.5000  4 Y 3.16, 8 Au 3.33

ΔE_f, eV/atom: 0.0865
Mass density, g cm⁻³: 11.84
Total energy, Ha/atom: -0.189


Copy entry 2 word for word.
# LiPb3O4

A relaxed LiPb3O4 crystal (PBE, Alexandria).

abc: 5.4626 5.7725 8.9432
angles: 90.00 90.00 90.00
Last column: nearest neighbours and their distance in Å.
Positions (direct):
Li1 0.0061 0.1958 0.0000  4 O 2.05-2.20
Li2 0.5061 0.8042 0.5000  4 O 2.05-2.20
Pb1 0.5240 0.7879 0.0000  2 O 2.33
Pb2 0.0207 0.7209 0.2513  4 O 2.26-2.41
Pb3 0.5207 0.2791 0.2487  4 O 2.26-2.41
Pb4 0.0240 0.2121 0.5000  2 O 2.33
Pb5 0.5207 0.2791 0.7513  4 O 2.26-2.41
Pb6 0.0207 0.7209 0.7487  4 O 2.26-2.41
O1 0.1024 0.8518 0.0000  1 Li 2.05
O2 0.6225 0.1806 0.0000  1 Li 2.10, 1 Pb 2.33
O3 0.1094 0.3422 0.2185  1 Li 2.20, 2 Pb 2.26-2.29
O4 0.6094 0.6578 0.2815  1 Li 2.20, 2 Pb 2.26-2.29
O5 0.1225 0.8194 0.5000  1 Li 2.10, 1 Pb 2.33
O6 0.6024 0.1482 0.5000  1 Li 2.05
O7 0.6094 0.6578 0.7185  1 Li 2.20, 2 Pb 2.26-2.29
O8 0.1094 0.3422 0.7815  1 Li 2.20, 2 Pb 2.26-2.29

Mass density, g cm⁻³: 8.16
Raw formation energy, eV per atom: -1.089
Total energy, Ha/atom: -0.191


The highest mass density belongs to which entry?
TcW4Cl